# 1
DFT (PBE-GGA) results for HgAuBr2 after structural relaxation.

a b c (Å): 5.2233 5.2252 3.6316
angles (deg): 90.00 90.00 89.96
Last column: nearest neighbours and their distance in Å.
Positions (direct):
Au 0.0000 0.5000 0.5000  8 Br 3.18
Hg 0.5000 0.0000 0.5000  8 Br 3.18
Br 0.0000 0.0000 0.0000  4 Hg 3.18, 4 Au 3.18
Br 0.5000 0.5000 0.0000  4 Au 3.18, 4 Hg 3.18

Values from the calculation:
* total DFT energy (no corrections): -1.477 eV per atom
* raw formation energy: 98 kJ/mol of formula units
* energy above the lowest structure with this stoichiometry: 375 meV/atom



# 2
DFT (PBE-GGA) results for Pr6Tl2In after structural relaxation.

a b c (Å): 3.8862 9.2990 9.2990
angles (deg): 120.00 90.00 90.00
Last column: nearest neighbours and their distance in Å.
Positions (direct):
Pr 0.5000 0.3858 0.0000  4 Tl 3.48, 1 In 3.59, 8 Pr 3.62-3.89
Tl 0.0000 0.3333 0.6667  9 Pr 3.34-3.48
Pr 0.0000 0.7145 0.0000  2 In 3.29, 2 Tl 3.34, 2 Pr 3.62
Pr 0.0000 0.0000 0.7145  2 In 3.29, 2 Tl 3.34, 2 Pr 3.62
In 0.5000 0.0000 0.0000  9 Pr 3.29-3.59
Pr 0.5000 0.6142 0.6142  4 Tl 3.48, 1 In 3.59, 8 Pr 3.62-3.89
Pr 0.0000 0.2855 0.2855  2 In 3.29, 2 Tl 3.34, 2 Pr 3.62
Pr 0.5000 0.0000 0.3858  4 Tl 3.48, 1 In 3.59, 8 Pr 3.62-3.89
Tl 0.0000 0.6667 0.3333  9 Pr 3.34-3.48

Values from the calculation:
* total DFT energy (no corrections): -4.306 eV per atom
* formation energy: -0.2899 eV/atom
* energy above the lowest structure with this stoichiometry: 0 meV/atom



# 3
DFT (PBE-GGA) results for TeRu2Pt after structural relaxation.

a b c (Å): 9.3882 9.3882 9.3882
angles (deg): 17.89 17.89 17.89
Last column: nearest neighbours and their distance in Å.
Positions (direct):
Ru 0.2566 0.2566 0.2566  3 Ru 2.60, 3 Te 2.87
Ru 0.9949 0.9949 0.9949  3 Ru 2.60, 3 Pt 2.81
Te 0.5060 0.5060 0.5060  3 Ru 2.87, 6 Te 2.92, 3 Pt 3.17
Pt 0.7425 0.7425 0.7425  3 Ru 2.81, 6 Pt 2.92

Values from the calculation:
* total DFT energy (no corrections): -6.500 eV per atom
* raw formation energy: 167 kJ/mol of formula units



# 4
DFT (PBE-GGA) results for Al3ReP after structural relaxation.

a b c (Å): 4.4825 4.4825 4.4825
angles (deg): 90.00 90.00 90.00
Last column: nearest neighbours and their distance in Å.
Positions (direct):
Re 0.5000 0.5000 0.5000  12 Al 3.17
Al 0.0000 0.5000 0.0000  2 P 2.24
Al 0.0000 0.0000 0.5000  2 P 2.24
P 0.0000 0.0000 0.0000  6 Al 2.24
Al 0.5000 0.0000 0.0000  2 P 2.24

Values from the calculation:
* total DFT energy (no corrections): -4.786 eV per atom
* formation energy: 1.0312 eV/atom
* energy above the lowest structure with this stoichiometry: 242 meV/atom